Rb2LiPaTe4 | PBE | relaxed

## Properties
E: -33.68 eV/cell
total moment: 0.00 μB/f.u.

a b c (Å): 7.734 4.625 8.801
angles (deg): 90.00 107.42 90.00
Space group P2/m (No. 10)
Symmetry-distinct sites (fractional):
Rb1 0.000 0.000 0.000 x1
Rb2 0.500 0.500 0.000 x1
Li1 0.000 0.500 0.500 x1
Pa1 0.500 0.000 0.500 x1
Te1 0.246 0.000 0.691 x2
Te2 0.276 0.500 0.307 x2